Record 1
A plane-wave DFT calculation with PBE was carried out for crystalline UTcAs at its relaxed geometry.

Summary:
As for the space group: Cmcm, No. 63. The value obtained for the calculated density is 13.0 g/cm3. As for the energy relative to the lowest polymorph listed for this composition: 8 meV/atom. As for the total magnetic moment: 0.00 μB per cell. As for the density of states at the Fermi level: 1.291 states/eV/atom. As for the formation enthalpy at 0 K: -0.40 eV/atom.

Unit cell a=4.473 b=4.221 c=5.957 alpha=110.75 beta=90.00 gamma=90.00
Element x y z (fractional)
1 U 0.250 0.933 0.866
2 U 0.750 0.067 0.134
3 Tc 0.250 0.246 0.492
4 Tc 0.750 0.754 0.508
5 As 0.250 0.626 0.252
6 As 0.750 0.374 0.748

***

Record 2
A plane-wave DFT calculation with PBE was carried out for crystalline UTcAs at its relaxed geometry.

Summary:
As for the space group: P-62m, No. 189. The value obtained for the calculated density is 12.3 g/cm3. As for the energy relative to the lowest polymorph listed for this composition: 0 meV/atom. As for the total magnetic moment: 4.20 μB per cell. As for the density of states at the Fermi level: 1.805 states/eV/atom. As for the formation enthalpy at 0 K: -0.41 eV/atom.

Unit cell a=4.091 b=6.841 c=6.841 alpha=120.00 beta=90.00 gamma=90.00
Site moments in Bohr magnetons follow the coordinates.
Element x y z (fractional)
1 U 0.500 0.432 0.432  1.57
2 U 0.500 0.000 0.568  1.57
3 U 0.500 0.568 0.000  1.57
4 Tc 0.000 0.755 0.755  -0.29
5 Tc 0.000 0.000 0.245  -0.29
6 Tc 0.000 0.245 0.000  -0.29
7 As 0.000 0.333 0.667  -0.03
8 As 0.000 0.667 0.333  -0.03
9 As 0.500 0.000 0.000  0.01

***

Record 3
A plane-wave DFT calculation with PBE was carried out for crystalline UTc4As2 at its relaxed geometry.

Summary:
As for the space group: C2/m, No. 12. The value obtained for the calculated density is 11.1 g/cm3. As for the total magnetic moment: 0.52 μB per cell. As for the density of states at the Fermi level: 1.069 states/eV/atom. As for the formation enthalpy at 0 K: -0.17 eV/atom.

Unit cell a=4.479 b=3.055 c=8.837 alpha=86.65 beta=104.68 gamma=90.00
Site moments in Bohr magnetons follow the coordinates.
Element x y z (fractional)
1 As 0.612 0.788 0.225  0.00
2 As 0.388 0.212 0.775  0.00
3 U 0.000 0.000 0.000  0.57
4 Tc 0.132 0.295 0.263  -0.05
5 Tc 0.868 0.705 0.737  -0.05
6 Tc 0.270 0.752 0.540  0.02
7 Tc 0.730 0.248 0.460  0.02

***

Record 4
A plane-wave DFT calculation with PBE was carried out for crystalline UTc2As2 at its relaxed geometry.

Summary:
As for the space group: C2/c, No. 15. The value obtained for the calculated density is 10.2 g/cm3. As for the total magnetic moment: 0.00 μB per cell. As for the density of states at the Fermi level: 0.637 states/eV/atom. As for the formation enthalpy at 0 K: -0.25 eV/atom.

Unit cell a=6.313 b=6.313 c=6.089 alpha=117.64 beta=117.64 gamma=76.55
Element x y z (fractional)
1 U 0.130 0.870 0.250
2 U 0.870 0.130 0.750
3 Tc 0.448 0.552 0.250
4 Tc 0.831 0.169 0.250
5 Tc 0.169 0.831 0.750
6 Tc 0.552 0.448 0.750
7 As 0.838 0.577 0.652
8 As 0.423 0.162 0.848
9 As 0.577 0.838 0.152
10 As 0.162 0.423 0.348

***

> Look up the calculated density of the first one.

13.0 g/cm3

***

> Which value of formation enthalpy at 0 K does entry 1 give?

-0.40 eV/atom